{
  "formula": "Ba2ZnGa",
  "functional": "PBE",
  "state": "optimized geometry",
  "cell": [[3.8571, 0.0000, 0.0000], [0.0000, 3.8571, 0.0000], [0.0000, 0.0000, 20.3815]],
  "species": ["Ba", "Ba", "Ba", "Ba", "Zn", "Zn", "Ga", "Ga"],
  "frac_coords": [[0.0000, 0.0000, 0.1587], [0.0000, 0.0000, 0.8413], [0.5000, 0.5000, 0.3413], [0.5000, 0.5000, 0.6587], [0.0000, 0.0000, 0.5000], [0.5000, 0.5000, 0.0000], [0.0000, 0.0000, 0.0000], [0.5000, 0.5000, 0.5000]],
  "dft_energy_ev_per_atom": -1.9291,
  "ef_ev_per_atom": 0.108
}

{
  "formula": "AcZrCd",
  "functional": "PBE",
  "state": "optimized geometry",
  "cell": [[16.1923, 0.0000, 0.0000], [0.0000, 3.5752, 0.0000], [0.0000, 0.0000, 6.1758]],
  "species": ["Ac", "Ac", "Ac", "Ac", "Zr", "Zr", "Zr", "Zr", "Cd", "Cd", "Cd", "Cd"],
  "frac_coords": [[0.1828, 0.0000, 0.0000], [0.1828, 0.5000, 0.5000], [0.8172, 0.0000, 0.0000], [0.8172, 0.5000, 0.5000], [0.3529, 0.0000, 0.6652], [0.3529, 0.5000, 0.1652], [0.6471, 0.0000, 0.6652], [0.6471, 0.5000, 0.1652], [0.0000, 0.0000, 0.3352], [0.0000, 0.5000, 0.8352], [0.5000, 0.0000, 0.3304], [0.5000, 0.5000, 0.8304]],
  "dft_energy_ev_per_atom": -4.3134,
  "ef_ev_per_atom": 0.210,
  "polymorph_energy_ev_per_atom": 0.177
}

{
  "formula": "RbPm2Te6Pb3",
  "functional": "PBE",
  "state": "optimized geometry",
  "cell": [[10.1251, -2.2798, 0.0000], [10.1251, 2.2798, 0.0000], [-2.2067, 0.0000, 9.3243]],
  "species": ["Rb", "Pm", "Pm", "Te", "Te", "Te", "Te", "Te", "Te", "Pb", "Pb", "Pb"],
  "frac_coords": [[0.0000, 0.0000, 0.0000], [0.3307, 0.3307, 0.6503], [0.6693, 0.6693, 0.3497], [0.1688, 0.1688, 0.5883], [0.1814, 0.1814, 0.1141], [0.4890, 0.4890, 0.7258], [0.5110, 0.5110, 0.2742], [0.8186, 0.8186, 0.8859], [0.8312, 0.8312, 0.4117], [0.0000, 0.0000, 0.5000], [0.3432, 0.3432, 0.1505], [0.6568, 0.6568, 0.8495]],
  "dft_energy_ev_per_atom": -4.1909,
  "formation_energy_uncorrected_ev_per_atom": -0.821
}

{
  "formula": "SmMnSi2",
  "functional": "PBE",
  "state": "optimized geometry",
  "cell": [[7.2357, 0.0000, 0.0000], [0.0000, 3.8820, 0.0000], [0.0000, 0.0000, 9.9894]],
  "species": ["Sm", "Sm", "Sm", "Sm", "Mn", "Mn", "Mn", "Mn", "Si", "Si", "Si", "Si", "Si", "Si", "Si", "Si"],
  "frac_coords": [[0.1383, 0.2500, 0.1304], [0.3617, 0.7500, 0.6304], [0.6383, 0.2500, 0.3696], [0.8617, 0.7500, 0.8696], [0.0097, 0.7500, 0.3939], [0.4903, 0.2500, 0.8939], [0.5097, 0.7500, 0.1061], [0.9903, 0.2500, 0.6061], [0.1662, 0.2500, 0.8128], [0.2061, 0.2500, 0.4323], [0.2939, 0.7500, 0.9323], [0.3338, 0.7500, 0.3128], [0.6662, 0.2500, 0.6872], [0.7061, 0.2500, 0.0677], [0.7939, 0.7500, 0.5677], [0.8338, 0.7500, 0.1872]],
  "dft_energy_ev_per_atom": -6.7875,
  "formation_energy_uncorrected_ev_per_atom": -0.604
}

{
  "formula": "Rb4La3AlTe8",
  "functional": "PBE",
  "state": "optimized geometry",
  "cell": [[4.6395, 2.6786, 8.5470], [-4.6395, 2.6786, 8.5470], [0.0000, -5.3572, 8.5470]],
  "species": ["Rb", "Rb", "Rb", "Rb", "La", "La", "La", "Al", "Te", "Te", "Te", "Te", "Te", "Te", "Te", "Te"],
  "frac_coords": [[0.0000, 0.0000, 0.0000], [0.0000, 0.5000, 0.5000], [0.5000, 0.0000, 0.5000], [0.5000, 0.5000, 0.0000], [0.0000, 0.0000, 0.5000], [0.0000, 0.5000, 0.0000], [0.5000, 0.0000, 0.0000], [0.5000, 0.5000, 0.5000], [0.2365, 0.2365, 0.2365], [0.2603, 0.7168, 0.7168], [0.2832, 0.2832, 0.7397], [0.2832, 0.7397, 0.2832], [0.7168, 0.2603, 0.7168], [0.7168, 0.7168, 0.2603], [0.7397, 0.2832, 0.2832], [0.7635, 0.7635, 0.7635]],
  "dft_energy_ev_per_atom": -4.1996,
  "formation_energy_uncorrected_ev_per_atom": -1.229
}

{
  "formula": "LiAc6Te8",
  "functional": "PBE",
  "state": "optimized geometry",
  "cell": [[0.0000, 6.6552, 6.6552], [6.6552, 0.0000, 6.6552], [6.6552, 6.6552, 0.0000]],
  "species": ["Li", "Ac", "Ac", "Ac", "Ac", "Ac", "Ac", "Te", "Te", "Te", "Te", "Te", "Te", "Te", "Te"],
  "frac_coords": [[0.0000, 0.0000, 0.0000], [0.0000, 0.0000, 0.5000], [0.0000, 0.5000, 0.0000], [0.0000, 0.5000, 0.5000], [0.5000, 0.0000, 0.0000], [0.5000, 0.0000, 0.5000], [0.5000, 0.5000, 0.0000], [0.2417, 0.2417, 0.7583], [0.2417, 0.7583, 0.2417], [0.2417, 0.7583, 0.7583], [0.2500, 0.2500, 0.2500], [0.7500, 0.7500, 0.7500], [0.7583, 0.2417, 0.2417], [0.7583, 0.2417, 0.7583], [0.7583, 0.7583, 0.2417]],
  "dft_energy_ev_per_atom": -4.9170,
  "formation_energy_uncorrected_ev_per_atom": -1.471
}

{
  "formula": "Y2RuPt",
  "functional": "PBE",
  "state": "optimized geometry",
  "cell": [[6.8101, 0.0000, 0.0000], [0.0000, 6.8101, 0.0000], [0.0000, 0.0000, 6.8101]],
  "species": ["Y", "Y", "Y", "Y", "Y", "Y", "Y", "Y", "Ru", "Ru", "Ru", "Ru", "Pt", "Pt", "Pt", "Pt"],
  "frac_coords": [[0.0000, 0.0000, 0.0000], [0.0000, 0.5000, 0.5000], [0.2500, 0.2500, 0.2500], [0.2500, 0.7500, 0.7500], [0.5000, 0.0000, 0.5000], [0.5000, 0.5000, 0.0000], [0.7500, 0.2500, 0.7500], [0.7500, 0.7500, 0.2500], [0.2500, 0.2500, 0.7500], [0.2500, 0.7500, 0.2500], [0.7500, 0.2500, 0.2500], [0.7500, 0.7500, 0.7500], [0.0000, 0.0000, 0.5000], [0.0000, 0.5000, 0.0000], [0.5000, 0.0000, 0.0000], [0.5000, 0.5000, 0.5000]],
  "dft_energy_ev_per_atom": -7.3094,
  "ef_ev_per_atom": -0.248
}

{
  "formula": "NaYMg17",
  "functional": "PBE",
  "state": "optimized geometry",
  "cell": [[5.1564, 2.9770, 5.1137], [-5.1564, 2.9770, 5.1137], [0.0000, -5.9541, 5.1137]],
  "species": ["Na", "Y", "Mg", "Mg", "Mg", "Mg", "Mg", "Mg", "Mg", "Mg", "Mg", "Mg", "Mg", "Mg", "Mg", "Mg", "Mg", "Mg", "Mg"],
  "frac_coords": [[0.0000, 0.0000, 0.0000], [0.6688, 0.6688, 0.6688], [0.0357, 0.3422, 0.6449], [0.0357, 0.6449, 0.3422], [0.1834, 0.6883, 0.6883], [0.2408, 0.2408, 0.2408], [0.3422, 0.0357, 0.6449], [0.3422, 0.6449, 0.0357], [0.3464, 0.3464, 0.8362], [0.3464, 0.8362, 0.3464], [0.4397, 0.4397, 0.4397], [0.5002, 0.9891, 0.9891], [0.6449, 0.0357, 0.3422], [0.6449, 0.3422, 0.0357], [0.6883, 0.1834, 0.6883], [0.6883, 0.6883, 0.1834], [0.8362, 0.3464, 0.3464], [0.9891, 0.5002, 0.9891], [0.9891, 0.9891, 0.5002]],
  "dft_energy_ev_per_atom": -1.8141,
  "ef_ev_per_atom": 0.022
}

{
  "formula": "AsPRuCl2",
  "functional": "PBE",
  "state": "optimized geometry",
  "cell": [[4.8453, 0.0000, 0.0000], [0.0000, 4.8453, 0.0000], [0.0000, 0.0000, 4.9931]],
  "species": ["As", "P", "Ru", "Cl", "Cl"],
  "frac_coords": [[0.0000, 0.0000, 0.0000], [0.0000, 0.0000, 0.5000], [0.5000, 0.5000, 0.5000], [0.0000, 0.5000, 0.0000], [0.5000, 0.0000, 0.0000]],
  "dft_energy_ev_per_atom": -3.5697,
  "polymorph_energy_ev_per_atom": 0.525,
  "formation_energy_uncorrected_ev_per_atom": 1.036
}

{
  "formula": "NdSm6DyEr2",
  "functional": "PBE",
  "state": "optimized geometry",
  "cell": [[4.6271, -7.5806, 0.0000], [4.6271, 7.5806, 0.0000], [-1.1297, 0.0000, 9.5283]],
  "species": ["Nd", "Nd", "Sm", "Sm", "Sm", "Sm", "Sm", "Sm", "Sm", "Sm", "Sm", "Sm", "Sm", "Sm", "Dy", "Dy", "Er", "Er", "Er", "Er"],
  "frac_coords": [[0.0294, 0.9706, 0.7500], [0.9706, 0.0294, 0.2500], [0.0111, 0.5608, 0.6836], [0.1162, 0.7574, 0.0555], [0.2426, 0.8838, 0.4445], [0.2933, 0.5140, 0.8822], [0.4392, 0.9889, 0.8164], [0.4860, 0.7067, 0.6178], [0.5140, 0.2933, 0.3822], [0.5608, 0.0111, 0.1836], [0.7067, 0.4860, 0.1178], [0.7574, 0.1162, 0.5555], [0.8838, 0.2426, 0.9445], [0.9889, 0.4392, 0.3164], [0.4102, 0.5898, 0.2500], [0.5898, 0.4102, 0.7500], [0.2019, 0.3015, 0.5481], [0.3015, 0.2019, 0.0481], [0.6985, 0.7981, 0.9519], [0.7981, 0.6985, 0.4519]],
  "dft_energy_ev_per_atom": -4.5635,
  "ef_ev_per_atom": 0.118
}

{
  "formula": "CaMoRh2",
  "functional": "PBE",
  "state": "optimized geometry",
  "cell": [[7.2013, 0.0000, 0.0000], [0.0000, 2.8709, 0.0000], [-0.4617, 0.0000, 7.1810]],
  "species": ["Ca", "Ca", "Mo", "Mo", "Rh", "Rh", "Rh", "Rh"],
  "frac_coords": [[0.0000, 0.0000, 0.0000], [0.5000, 0.5000, 0.0000], [0.0000, 0.5000, 0.5000], [0.5000, 0.0000, 0.5000], [0.2467, 0.5000, 0.2914], [0.2533, 0.0000, 0.7086], [0.7467, 0.0000, 0.2914], [0.7533, 0.5000, 0.7086]],
  "dft_energy_ev_per_atom": -6.7902,
  "ef_ev_per_atom": 0.094,
  "polymorph_energy_ev_per_atom": 0.236
}

{
  "formula": "SbN2O2",
  "functional": "PBE",
  "state": "optimized geometry",
  "cell": [[3.6689, 0.0000, 0.0000], [0.0000, 3.6689, 0.0000], [0.0000, 0.0000, 3.5414]],
  "species": ["Sb", "N", "N", "O", "O"],
  "frac_coords": [[0.0000, 0.0000, 0.0000], [0.5000, 0.5000, 0.0000], [0.5000, 0.5000, 0.5000], [0.0000, 0.5000, 0.5000], [0.5000, 0.0000, 0.5000]],
  "dft_energy_ev_per_atom": -4.8885,
  "polymorph_energy_ev_per_atom": 1.827,
  "formation_energy_uncorrected_ev_per_atom": 1.249
}